16
Lattice="-0.0977 0.3452 -8.7663 -8.5777 -1.1531 0.0502 -0.8315 6.1963 0.2533" Properties=species:S:1:pos:R:3 comment="PBE Dy3Hg, optimized geometry" formation_enthalpy_0k_ev_per_atom=-0.15 magnetic_moment_mub_per_cell=0.12 pbc="T T T"
Dy -6.5655 -0.0836 -4.5971
Dy -0.5965 0.9775 -7.1749
Dy -4.0543 0.5127 -7.1547
Dy -0.7622 2.4040 -2.7264
Dy -4.2200 1.9392 -2.7062
Dy -6.7719 1.6464 -0.1362
Dy -2.7350 3.7420 -8.3266
Dy -5.2869 3.4492 -5.7567
Dy -8.7447 2.9844 -5.7364
Dy -5.4527 4.8757 -1.3082
Dy -8.9105 4.4109 -1.2879
Dy -2.9415 5.4720 -3.8657
Hg -2.2422 0.3971 -0.9439
Hg -2.5332 2.3745 -5.2533
Hg -6.9737 3.0139 -3.2095
Hg -7.2648 4.9913 -7.5189